Record 1
Below is La2CdIr after structural relaxation, with properties calculated at the PBE-GGA level.

The space group is Cmcm (No. 63) and the conventional cell measures 4.098, 15.112 and 7.520 Å, with angles of 90.00, 90.00 and 90.00 degrees. The distinct sites, in fractional coordinates, are La at (0.000, 0.144, 0.002), Cd at (0.000, 0.496, 0.750) and Ir at (0.000, 0.302, 0.750).

The calculation puts the total energy at -21.9 eV per formula unit. The density of states at the Fermi level comes out at 11.745 states/eV per cell.

---

Record 2
Below is DyPu2NpN4 after structural relaxation, with properties calculated at the PBE-GGA level.

The space group is P2/m (No. 10) and the conventional cell measures 5.984, 3.470 and 6.010 Å, with angles of 90.00, 109.51 and 90.00 degrees. The distinct sites, in fractional coordinates, are Dy at (0.000, 0.000, 0.000), Pu at (0.000, 0.500, 0.500), Pu at (0.500, 0.000, 0.500), Np at (0.500, 0.500, 0.000), N at (0.261, 0.000, 0.761) and N at (0.264, 0.500, 0.246).

The calculation puts the formation energy without anion corrections at -1283 meV/atom. The density of states at the Fermi level comes out at 20.071 states/eV per cell.

---

Record 3
Below is PmThZr after structural relaxation, with properties calculated at the PBE-GGA level.

The space group is P4/nmm (No. 129, origin choice 2) and the conventional cell measures 3.697, 3.697 and 13.013 Å, with angles of 90.00, 90.00 and 90.00 degrees. The distinct sites, in fractional coordinates, are Pm at (0.250, 0.250, 0.107), Th at (0.250, 0.250, 0.715) and Zr at (0.250, 0.250, 0.435).

As for the relative energy among the computed polymorphs: 0.000 eV per atom. The density of states at the Fermi level comes out at 7.835 states/eV per cell.

---

Record 4
Below is Ce2Ir2Au after structural relaxation, with properties calculated at the PBE-GGA level.

The space group is Immm (No. 71) and the conventional cell measures 4.681, 5.783 and 7.751 Å, with angles of 90.00, 90.00 and 90.00 degrees. The distinct sites, in fractional coordinates, are Ce at (0.000, 0.000, 0.188), Ir at (0.000, 0.259, 0.500) and Au at (0.000, 0.500, 0.000).

The calculation puts the total energy at -36.4 eV per formula unit. The density of states at the Fermi level comes out at 12.117 states/eV per cell.

---

Record 5
Below is Be2HgBr after structural relaxation, with properties calculated at the PBE-GGA level.

The space group is P4mm (No. 99) and the conventional cell measures 3.525, 3.525 and 5.472 Å, with angles of 90.00, 90.00 and 90.00 degrees. The distinct sites, in fractional coordinates, are Be at (0.000, 0.000, 0.000), Be at (0.500, 0.500, 0.422), Hg at (0.500, 0.500, 0.912) and Br at (0.000, 0.000, 0.413).

As for the relative energy among the computed polymorphs: 0.314 eV per atom. The calculation puts the formation energy without anion corrections at 502 meV/atom. The density of states at the Fermi level comes out at 1.903 states/eV per cell.

---

Record 6
Below is NaCd3Pb3 after structural relaxation, with properties calculated at the PBE-GGA level.

The space group is P6_3/m (No. 176) and the conventional cell measures 9.0364, 9.0364 and 5.4008 Å, with angles of 90.00, 90.00 and 120.00 degrees. The distinct sites, in fractional coordinates, are Na at (0.3333, 0.6667, 0.2500), Cd at (0.0462, 0.2241, 0.2500) and Pb at (0.0899, 0.4567, 0.7500).

As for the relative energy among the computed polymorphs: 0.000 eV per atom. The density of states at the Fermi level comes out at 5.180 states/eV per cell.

---

Record 7
Below is PrTm7Cd4 after structural relaxation, with properties calculated at the PBE-GGA level.

The space group is C2/m (No. 12) and the conventional cell measures 14.584, 5.671 and 9.624 Å, with angles of 90.00, 121.87 and 90.00 degrees. The distinct sites, in fractional coordinates, are Pr at (0.000, 0.000, 0.000), Tm at (0.000, 0.500, 0.000), Tm at (0.072, 0.000, 0.415), Tm at (0.206, 0.000, 0.880), Tm at (0.237, 0.500, 0.692), Cd at (0.041, 0.500, 0.711) and Cd at (0.182, 0.500, 0.340).

The calculation puts the total energy at -39.4 eV per formula unit. The density of states at the Fermi level comes out at 26.874 states/eV per cell.

---

Record 8
Below is LiRh5 after structural relaxation, with properties calculated at the PBE-GGA level.

The space group is Cm (No. 8) and the conventional cell measures 9.793, 2.702 and 6.487 Å, with angles of 90.00, 103.81 and 90.00 degrees. The distinct sites, in fractional coordinates, are Li at (0.000, 0.000, 0.000), Rh at (0.054, 0.000, 0.623), Rh at (0.161, 0.500, 0.331), Rh at (0.229, 0.500, 0.955), Rh at (0.328, 0.000, 0.668) and Rh at (0.387, 0.000, 0.283).

As for the relative energy among the computed polymorphs: 0.000 eV per atom. The density of states at the Fermi level comes out at 16.366 states/eV per cell.

---

Record 9
Below is Dy2ScZn2Ga2 after structural relaxation, with properties calculated at the PBE-GGA level.

The space group is R-3m (No. 166, hexagonal axes) and the conventional cell measures 4.3372, 4.3372 and 27.7204 Å, with angles of 90.00, 90.00 and 120.00 degrees. The distinct sites, in fractional coordinates, are Dy at (0.0000, 0.0000, 0.1227), Sc at (0.0000, 0.0000, 0.0000), Zn at (0.0000, 0.0000, 0.3855) and Ga at (0.0000, 0.0000, 0.2716).

The calculation puts the total energy at -26.8 eV per formula unit. The density of states at the Fermi level comes out at 12.242 states/eV per cell.

---

Record 10
Below is CdBP after structural relaxation, with properties calculated at the PBE-GGA level.

The space group is P2_1/c (No. 14) and the conventional cell measures 5.853, 6.060 and 6.421 Å, with angles of 90.00, 107.74 and 90.00 degrees. The distinct sites, in fractional coordinates, are Cd at (0.026, 0.248, 0.256), B at (0.435, 0.160, 0.841) and P at (0.433, 0.664, 0.341).

As for the relative energy among the computed polymorphs: 0.278 eV per atom. The density of states at the Fermi level comes out at 3.395 states/eV per cell.

---

Record 11
Below is Fe2AgRu after structural relaxation, with properties calculated at the PBE-GGA level.

The space group is P4/mmm (No. 123) and the conventional cell measures 2.679, 2.679 and 7.777 Å, with angles of 90.00, 90.00 and 90.00 degrees. The distinct sites, in fractional coordinates, are Fe at (0.000, 0.000, 0.230), Ag at (0.500, 0.500, 0.500) and Ru at (0.500, 0.500, 0.000).

As for the relative energy among the computed polymorphs: 0.007 eV per atom. The density of states at the Fermi level comes out at 5.150 states/eV per cell.

---

Record 12
Below is La3AsC after structural relaxation, with properties calculated at the PBE-GGA level.

The space group is Pm-3m (No. 221) and the conventional cell measures 5.103, 5.103 and 5.103 Å, with angles of 90.00, 90.00 and 90.00 degrees. The distinct sites, in fractional coordinates, are La at (0.000, 0.000, 0.500), As at (0.500, 0.500, 0.500) and C at (0.000, 0.000, 0.000).

The calculation puts the total energy at -31.1 eV per formula unit. The density of states at the Fermi level comes out at 4.151 states/eV per cell.

---

Record 13
Below is SbPb2Br2O2 after structural relaxation, with properties calculated at the PBE-GGA level.

The space group is C2/m (No. 12) and the conventional cell measures 12.591, 4.412 and 7.892 Å, with angles of 90.00, 124.61 and 90.00 degrees. The distinct sites, in fractional coordinates, are Sb at (0.000, 0.000, 0.000), Pb at (0.189, 0.000, 0.774), Br at (0.059, 0.500, 0.300) and O at (0.202, 0.000, 0.079).

The calculation puts the formation energy without anion corrections at -802 meV/atom. The density of states at the Fermi level comes out at 4.122 states/eV per cell.

---

Record 14
Below is SrCdInPd2 after structural relaxation, with properties calculated at the PBE-GGA level.

The space group is I-4m2 (No. 119) and the conventional cell measures 4.449, 4.449 and 11.978 Å, with angles of 90.00, 90.00 and 90.00 degrees. The distinct sites, in fractional coordinates, are Sr at (0.000, 0.000, 0.000), Cd at (0.000, 0.500, 0.250), In at (0.000, 0.500, 0.750) and Pd at (0.000, 0.000, 0.389).

The calculation puts the total energy at -18.3 eV per formula unit. The density of states at the Fermi level comes out at 4.656 states/eV per cell.

---

Record 15
Below is K2InPb2 after structural relaxation, with properties calculated at the PBE-GGA level.

The space group is P4/mbm (No. 127) and the conventional cell measures 9.769, 9.769 and 3.913 Å, with angles of 90.00, 90.00 and 90.00 degrees. The distinct sites, in fractional coordinates, are K at (0.189, 0.311, 0.000), In at (0.000, 0.000, 0.500) and Pb at (0.110, 0.610, 0.500).

As for the relative energy among the computed polymorphs: 0.200 eV per atom. The density of states at the Fermi level comes out at 6.658 states/eV per cell.

---

Record 16
Below is ZrGa6FeCo5 after structural relaxation, with properties calculated at the PBE-GGA level.

The space group is Imm2 (No. 44) and the conventional cell measures 5.084, 7.988 and 8.577 Å, with angles of 90.00, 90.00 and 90.00 degrees. The distinct sites, in fractional coordinates, are Zr at (0.000, 0.000, 0.000), Ga at (0.000, 0.297, 0.496), Ga at (0.250, 0.248, 0.745), Fe at (0.000, 0.500, 0.722), Co at (0.000, 0.000, 0.353), Co at (0.000, 0.000, 0.635), Co at (0.000, 0.347, 0.994) and Co at (0.000, 0.500, 0.270).

The calculation puts the total energy at -71.6 eV per formula unit. The density of states at the Fermi level comes out at 24.437 states/eV per cell.

---

Record 17
Below is Pm6Si2PtBr3 after structural relaxation, with properties calculated at the PBE-GGA level.

The space group is C2/m (No. 12) and the conventional cell measures 18.961, 4.180 and 8.877 Å, with angles of 90.00, 104.53 and 90.00 degrees. The distinct sites, in fractional coordinates, are Pm at (0.009, 0.000, 0.223), Pm at (0.159, 0.500, 0.108), Pm at (0.176, 0.500, 0.565), Si at (0.166, 0.000, 0.337), Pt at (0.000, 0.500, 0.000), Br at (0.000, 0.500, 0.500) and Br at (0.171, 0.000, 0.833).

The calculation puts the formation energy without anion corrections at -1104 meV/atom. The density of states at the Fermi level comes out at 14.319 states/eV per cell.

---

Record 18
Below is NaInCuIr after structural relaxation, with properties calculated at the PBE-GGA level.

The space group is F-43m (No. 216) and the conventional cell measures 6.459, 6.459 and 6.459 Å, with angles of 90.00, 90.00 and 90.00 degrees. The distinct sites, in fractional coordinates, are Na at (0.000, 0.000, 0.000), In at (0.250, 0.250, 0.250), Cu at (0.250, 0.250, 0.750) and Ir at (0.000, 0.000, 0.500).

The calculation puts the total energy at -16.6 eV per formula unit. The density of states at the Fermi level comes out at 4.909 states/eV per cell.

---

Record 19
Below is TbSmSi2Pd2 after structural relaxation, with properties calculated at the PBE-GGA level.

The space group is P-3m1 (No. 164) and the conventional cell measures 4.2058, 4.2058 and 8.0702 Å, with angles of 90.00, 90.00 and 120.00 degrees. The distinct sites, in fractional coordinates, are Tb at (0.0000, 0.0000, 0.0000), Sm at (0.0000, 0.0000, 0.5000), Si at (0.3333, 0.6667, 0.7512) and Pd at (0.3333, 0.6667, 0.2400).

The calculation puts the formation energy without anion corrections at -917 meV/atom. The density of states at the Fermi level comes out at 5.467 states/eV per cell.

---

Record 20
Below is CdSbW after structural relaxation, with properties calculated at the PBE-GGA level.

The space group is I4mm (No. 107) and the conventional cell measures 3.110, 3.110 and 14.035 Å, with angles of 90.00, 90.00 and 90.00 degrees. The distinct sites, in fractional coordinates, are Cd at (0.000, 0.000, 0.000), Sb at (0.000, 0.000, 0.727) and W at (0.000, 0.000, 0.361).

As for the relative energy among the computed polymorphs: 0.086 eV per atom. The calculation puts the formation energy without anion corrections at 668 meV/atom. The density of states at the Fermi level comes out at 6.227 states/eV per cell.

---

Record 21
Below is Cs2MnAgI5 after structural relaxation, with properties calculated at the PBE-GGA level.

The space group is Cmc2_1 (No. 36) and the conventional cell measures 4.775, 22.323 and 16.493 Å, with angles of 90.00, 90.00 and 90.00 degrees. The distinct sites, in fractional coordinates, are Cs at (0.000, 0.106, 0.000), Cs at (0.000, 0.151, 0.646), Mn at (0.000, 0.439, 0.730), Ag at (0.000, 0.247, 0.409), I at (0.000, 0.042, 0.314), I at (0.000, 0.303, 0.965), I at (0.000, 0.328, 0.667), I at (0.000, 0.354, 0.327) and I at (0.000, 0.486, 0.101).

The calculation puts the formation energy without anion corrections at -884 meV/atom. The density of states at the Fermi level comes out at 0.000 states/eV per cell.

---

Record 22
Below is NiTe2I after structural relaxation, with properties calculated at the PBE-GGA level.

The space group is P3m1 (No. 156) and the conventional cell measures 4.2247, 4.2247 and 7.8981 Å, with angles of 90.00, 90.00 and 120.00 degrees. The distinct sites, in fractional coordinates, are Ni at (0.0000, 0.0000, 0.0000), Te at (0.0000, 0.0000, 0.2957), Te at (0.3333, 0.6667, 0.9449) and I at (0.6667, 0.3333, 0.5876).

The calculation puts the formation energy without anion corrections at 142 meV/atom. The density of states at the Fermi level comes out at 2.864 states/eV per cell.

---

Record 23
Below is NaTb2Cd after structural relaxation, with properties calculated at the PBE-GGA level.

The space group is Fm-3m (No. 225) and the conventional cell measures 7.655, 7.655 and 7.655 Å, with angles of 90.00, 90.00 and 90.00 degrees. The distinct sites, in fractional coordinates, are Na at (0.000, 0.000, 0.000), Tb at (0.250, 0.250, 0.250) and Cd at (0.000, 0.000, 0.500).

As for the relative energy among the computed polymorphs: 0.014 eV per atom. The density of states at the Fermi level comes out at 23.633 states/eV per cell.

---

Record 24
Below is Sr3InS after structural relaxation, with properties calculated at the PBE-GGA level.

The space group is Pm-3m (No. 221) and the conventional cell measures 5.740, 5.740 and 5.740 Å, with angles of 90.00, 90.00 and 90.00 degrees. The distinct sites, in fractional coordinates, are Sr at (0.000, 0.000, 0.500), In at (0.500, 0.500, 0.500) and S at (0.000, 0.000, 0.000).

As for the relative energy among the computed polymorphs: 0.000 eV per atom. The calculation puts the formation energy without anion corrections at -911 meV/atom. The density of states at the Fermi level comes out at 7.259 states/eV per cell.